Entry 1:
Compound: Na3LaMo
Source: the Alexandria database
Functional: PBE-GGA
Structure: optimized geometry

ΔE to the lowest computed polymorph   0.0 meV/atom
Space-group type   Pm-3m, No. 221
Formation energy from the elements   1.2508 eV per atom
VASP energy   -2.692 eV per atom
Size of the total moment   0.608 μB per atom

Lattice parameters (Å, degrees): 5.6400 5.6400 5.6400 90.00 90.00 90.00
With the nearest neighbours (Å) after each atom.
Sites, in units of the cell vectors:
La 0.5000 0.5000 0.5000  12 Na 3.99
Na 0.0000 0.5000 0.0000  2 Mo 2.82
Na 0.0000 0.0000 0.5000  2 Mo 2.82
Na 0.5000 0.0000 0.0000  2 Mo 2.82
Mo 0.0000 0.0000 0.0000  6 Na 2.82

=====

Entry 2:
Compound: SbAsIr2
Source: the Alexandria database
Functional: PBE-GGA
Structure: optimized geometry

ΔE to the lowest computed polymorph   237.3 meV/atom
Space-group type   P4mm, No. 99
VASP energy   -6.544 eV per atom
Size of the total moment   0.001 μB per atom
Raw formation energy   0.32 eV/f.u.

Lattice parameters (Å, degrees): 3.0549 3.0549 8.3297 90.00 90.00 90.00
With the nearest neighbours (Å) after each atom.
Sites, in units of the cell vectors:
Sb 0.0000 0.0000 0.4360  4 Ir 2.72
As 0.5000 0.5000 0.8308  4 Ir 2.56
Ir 0.5000 0.5000 0.2367  4 Sb 2.72, 4 Ir 2.94
Ir 0.0000 0.0000 0.9965  4 As 2.56

=====

Entry 3:
Compound: Y2HfTl3Te6
Source: the Alexandria database
Functional: PBE-GGA
Structure: optimized geometry

Space-group type   C2/m, No. 12
VASP energy   -4.944 eV per atom
Size of the total moment   0.000 μB per atom
Raw formation energy   -10.50 eV/f.u.

Lattice parameters (Å, degrees): 7.4934 7.4934 8.6312 98.32 98.32 119.94
With the nearest neighbours (Å) after each atom.
Sites, in units of the cell vectors:
Tl 0.5000 0.5000 0.5000  6 Te 3.42-3.53
Tl 0.8272 0.1728 0.5000  6 Te 3.42-3.50
Tl 0.1728 0.8272 0.5000  6 Te 3.42-3.50
Y 0.3343 0.6657 0.0000  6 Te 3.09-3.11
Y 0.6657 0.3343 0.0000  6 Te 3.09-3.11
Te 0.6130 0.9304 0.7903  1 Hf 2.94, 2 Y 3.09-3.10
Te 0.2450 0.2450 0.7855  1 Hf 2.96, 2 Y 3.11
Te 0.3870 0.0696 0.2097  1 Hf 2.94, 2 Y 3.09-3.10
Te 0.9304 0.6130 0.7903  1 Hf 2.94, 2 Y 3.09-3.10
Te 0.0696 0.3870 0.2097  1 Hf 2.94, 2 Y 3.09-3.10
Te 0.7550 0.7550 0.2145  1 Hf 2.96, 2 Y 3.11
Hf 0.0000 0.0000 0.0000  6 Te 2.94-2.96

=====

Entry 4:
Compound: Na6RuF12
Source: the Alexandria database
Functional: PBE-GGA
Structure: optimized geometry

Space-group type   R-3, No. 148
VASP energy   -4.364 eV per atom
Size of the total moment   0.216 μB per atom
Raw formation energy   -43.26 eV/f.u.

Lattice parameters (Å, degrees): 6.6865 6.6865 6.6865 98.81 98.81 98.81
With the nearest neighbours (Å) after each atom.
Sites, in units of the cell vectors:
Na 0.8446 0.3986 0.6543  4 F 2.24-2.29
Na 0.3457 0.1554 0.6014  4 F 2.24-2.29
Na 0.6543 0.8446 0.3986  4 F 2.24-2.29
Na 0.6014 0.3457 0.1554  4 F 2.24-2.29
Na 0.3986 0.6543 0.8446  4 F 2.24-2.29
Na 0.1554 0.6014 0.3457  4 F 2.24-2.29
F 0.4141 0.6030 0.1694  4 Na 2.24-2.29
F 0.1694 0.4141 0.6030  4 Na 2.24-2.29
F 0.8306 0.5859 0.3970  4 Na 2.24-2.29
F 0.9753 0.2790 0.0830  1 Ru 1.90
F 0.3970 0.8306 0.5859  4 Na 2.24-2.29
F 0.2790 0.0830 0.9753  1 Ru 1.90
F 0.7210 0.9170 0.0247  1 Ru 1.90
F 0.9170 0.0247 0.7210  1 Ru 1.90
F 0.0830 0.9753 0.2790  1 Ru 1.90
F 0.5859 0.3970 0.8306  4 Na 2.24-2.29
F 0.6030 0.1694 0.4141  4 Na 2.24-2.29
F 0.0247 0.7210 0.9170  1 Ru 1.90
Ru 0.0000 0.0000 0.0000  6 F 1.90

=====

Entry 5:
Compound: GaGe2Pd4
Source: the Alexandria database
Functional: PBE-GGA
Structure: optimized geometry

ΔE to the lowest computed polymorph   472.5 meV/atom
Space-group type   I4/mmm, No. 139
Formation energy from the elements   0.0878 eV per atom
VASP energy   -4.631 eV per atom
Size of the total moment   0.000 μB per atom

Lattice parameters (Å, degrees): 4.6639 4.6639 7.0924 70.80 70.80 90.00
With the nearest neighbours (Å) after each atom.
Sites, in units of the cell vectors:
Pd 0.8044 0.8044 0.3913  1 Ge 2.39, 1 Ga 2.46
Pd 0.5000 0.0000 0.0000  2 Ga 2.33
Pd 0.0000 0.5000 0.0000  2 Ga 2.33
Pd 0.1956 0.1956 0.6087  1 Ge 2.39, 1 Ga 2.46
Ge 0.3862 0.3862 0.2276  1 Pd 2.39
Ge 0.6138 0.6138 0.7724  1 Pd 2.39
Ga 0.0000 0.0000 0.0000  6 Pd 2.33-2.46

=====

Entry 6:
Compound: MnCdPt
Source: the Alexandria database
Functional: PBE-GGA
Structure: optimized geometry

Space-group type   I4mm, No. 107
Formation energy from the elements   -0.1537 eV per atom
VASP energy   -5.529 eV per atom
Size of the total moment   1.337 μB per atom

Lattice parameters (Å, degrees): 6.1050 6.1049 2.9759 75.90 75.90 28.21
With the nearest neighbours (Å) after each atom.
Sites, in units of the cell vectors:
Mn 0.6799 0.6799 0.3200  4 Pt 2.66, 4 Cd 2.96
Cd 0.9988 0.9988 0.0012  4 Pt 2.93, 4 Mn 2.96, 4 Cd 2.98
Pt 0.3213 0.3213 0.6788  4 Mn 2.66, 4 Cd 2.93